Entry 1:
VASP calculation (PBE) on a relaxed structure of CoNi4Rh3.

Computed properties:
offset from the most stable computed form = 240 meV per atom
ρ = 9492 kg/m3
E_form = 276 meV per atom

Cell: 4.2583 2.6237 10.0252 Å, 74.71 102.26 90.00°
Closest atoms and distances in Å follow each position.
Element x y z (fractional)
Rh (0.1673, 0.1668, 0.3347)  8 Ni 2.46-2.66, 2 Rh 2.62
Ni (0.6020, 0.2953, 0.2041)  2 Co 2.33, 2 Rh 2.46, 2 Ni 2.50
Ni (0.2850, 0.4308, 0.5701)  6 Ni 2.50-2.62, 6 Rh 2.58-2.66
Ni (0.3980, 0.7047, 0.7959)  2 Co 2.33, 2 Rh 2.46, 2 Ni 2.50
Rh (0.0000, 0.5000, 0.0000)  4 Co 2.50, 2 Rh 2.62
Ni (0.7150, 0.5692, 0.4299)  6 Ni 2.50-2.62, 6 Rh 2.58-2.66
Rh (0.8327, 0.8332, 0.6653)  8 Ni 2.46-2.66, 2 Rh 2.62
Co (0.5000, 0.0000, 0.0000)  4 Ni 2.33, 4 Rh 2.50

---

Entry 2:
VASP calculation (PBE) on a relaxed structure of Li2MnSnN.

Computed properties:
offset from the most stable computed form = 593 meV per atom
ρ = 3476 kg/m3
energy relative to the elements, uncorrected = 0.271 eV/atom

Cell: 5.2396 3.5073 5.2396 Å, 90.00 90.00 90.00°
Closest atoms and distances in Å follow each position.
Element x y z (fractional)
Mn (0.0000, 0.0000, 0.0000)  2 N 1.75
Li (0.5000, 0.0000, 0.0000)  2 Mn 2.62
Sn (0.5000, 0.5000, 0.5000)  8 Li 3.15, 2 Sn 3.51
Li (0.0000, 0.0000, 0.5000)  2 Mn 2.62
N (0.0000, 0.5000, 0.0000)  2 Mn 1.75

---

Entry 3:
VASP calculation (PBE) on a relaxed structure of MgTe3.

Computed properties:
ρ = 6251 kg/m3
energy relative to the elements, uncorrected = -0.050 eV/atom

Cell: 3.7655 3.7655 7.6273 Å, 90.00 90.00 90.00°
Closest atoms and distances in Å follow each position.
Element x y z (fractional)
Mg (0.0000, 0.0000, 0.0000)  8 Te 3.09
Te (0.0000, 0.0000, 0.5000)  12 Te 3.48-3.77, 2 Mg 3.81
Te (0.5000, 0.5000, 0.2064)  4 Mg 3.09, 1 Te 3.15
Te (0.5000, 0.5000, 0.7936)  4 Mg 3.09, 1 Te 3.15

---

Entry 4:
VASP calculation (PBE) on a relaxed structure of La2TlZn2.

Computed properties:
ρ = 7182 kg/m3
E_form = -143 meV per atom

Cell: 8.9712 8.9712 3.5219 Å, 90.00 90.00 90.00°
Closest atoms and distances in Å follow each position.
Element x y z (fractional)
La (0.1753, 0.3247, 0.0000)  6 Zn 3.18-3.20, 2 Tl 3.31, 2 La 3.52
Zn (0.8840, 0.3840, 0.5000)  1 Zn 2.94, 6 La 3.18-3.20
La (0.6753, 0.1753, 0.0000)  6 Zn 3.18-3.20, 2 Tl 3.31, 2 La 3.52
La (0.8247, 0.6753, 0.0000)  6 Zn 3.18-3.20, 2 Tl 3.31, 2 La 3.52
Zn (0.3840, 0.1160, 0.5000)  1 Zn 2.94, 6 La 3.18-3.20
La (0.3247, 0.8247, 0.0000)  6 Zn 3.18-3.20, 2 Tl 3.31, 2 La 3.52
Tl (0.0000, 0.0000, 0.0000)  4 La 3.31, 2 Tl 3.52
Zn (0.1160, 0.6160, 0.5000)  1 Zn 2.94, 6 La 3.18-3.20
Tl (0.5000, 0.5000, 0.0000)  4 La 3.31, 2 Tl 3.52
Zn (0.6160, 0.8840, 0.5000)  1 Zn 2.94, 6 La 3.18-3.20

---

- What is the ρ in the third record?
  6251 kg/m3

---

- Which of these has the lowest ρ?
  Li2MnSnN

---

- Which of these has the lowest ρ?
  Li2MnSnN

---

Repeat the first record exactly.
VASP calculation (PBE) on a relaxed structure of CoNi4Rh3.

Computed properties:
offset from the most stable computed form = 240 meV per atom
ρ = 9492 kg/m3
E_form = 276 meV per atom

Cell: 4.2583 2.6237 10.0252 Å, 74.71 102.26 90.00°
Closest atoms and distances in Å follow each position.
Element x y z (fractional)
Rh (0.1673, 0.1668, 0.3347)  8 Ni 2.46-2.66, 2 Rh 2.62
Ni (0.6020, 0.2953, 0.2041)  2 Co 2.33, 2 Rh 2.46, 2 Ni 2.50
Ni (0.2850, 0.4308, 0.5701)  6 Ni 2.50-2.62, 6 Rh 2.58-2.66
Ni (0.3980, 0.7047, 0.7959)  2 Co 2.33, 2 Rh 2.46, 2 Ni 2.50
Rh (0.0000, 0.5000, 0.0000)  4 Co 2.50, 2 Rh 2.62
Ni (0.7150, 0.5692, 0.4299)  6 Ni 2.50-2.62, 6 Rh 2.58-2.66
Rh (0.8327, 0.8332, 0.6653)  8 Ni 2.46-2.66, 2 Rh 2.62
Co (0.5000, 0.0000, 0.0000)  4 Ni 2.33, 4 Rh 2.50